Computed, not measured: an optimized crystal structure of PrDyOsO6 at the PBE-GGA level of DFT.

Unit cell a=5.543 b=5.543 c=10.012 alpha=90.00 beta=90.00 gamma=120.00
Sites, in units of the cell vectors:
1 Pr 0.000 0.000 0.000
2 Pr 0.000 0.000 0.500
3 Dy 0.333 0.667 0.250
4 Dy 0.667 0.333 0.750
5 Os 0.333 0.667 0.750
6 Os 0.667 0.333 0.250
7 O 0.043 0.378 0.640
8 O 0.043 0.665 0.860
9 O 0.335 0.378 0.860
10 O 0.335 0.957 0.640
11 O 0.378 0.043 0.140
12 O 0.378 0.335 0.360
13 O 0.622 0.665 0.640
14 O 0.622 0.957 0.860
15 O 0.665 0.043 0.360
16 O 0.665 0.622 0.140
17 O 0.957 0.335 0.140
18 O 0.957 0.622 0.360

Summary:
Total moment (μB/atom): 0.223
Formation energy without anion corrections (kJ/mol of formula units): -2027
Space group: No. 163
DFT total energy (eV for the cell shown): -142.7
Mass density (Mg/m³): 7.4

---

Computed, not measured: an optimized crystal structure of Ba2BeO at the PBE-GGA level of DFT.

Unit cell a=7.422 b=7.422 c=7.422 alpha=90.00 beta=90.00 gamma=90.00
Sites, in units of the cell vectors:
1 Ba 0.250 0.250 0.250
2 Ba 0.250 0.250 0.750
3 Ba 0.250 0.750 0.250
4 Ba 0.250 0.750 0.750
5 Ba 0.750 0.250 0.250
6 Ba 0.750 0.250 0.750
7 Ba 0.750 0.750 0.250
8 Ba 0.750 0.750 0.750
9 Be 0.000 0.000 0.000
10 Be 0.000 0.500 0.500
11 Be 0.500 0.000 0.500
12 Be 0.500 0.500 0.000
13 O 0.000 0.000 0.500
14 O 0.000 0.500 0.000
15 O 0.500 0.000 0.000
16 O 0.500 0.500 0.500

Summary:
Offset from the most stable computed form (meV per atom): 549
Total moment (μB/atom): 0.299
Formation energy without anion corrections (kJ/mol of formula units): -82
Space group: No. 225
DFT total energy (eV for the cell shown): -53.5
Mass density (Mg/m³): 4.9

---

Computed, not measured: an optimized crystal structure of Tc3Pb at the PBE-GGA level of DFT.

Unit cell a=5.383 b=8.304 c=2.998 alpha=90.00 beta=90.00 gamma=90.00
Sites, in units of the cell vectors:
1 Tc 0.000 0.000 0.000
2 Tc 0.250 0.250 0.500
3 Tc 0.250 0.750 0.500
4 Tc 0.500 0.500 0.000
5 Tc 0.750 0.250 0.500
6 Tc 0.750 0.750 0.500
7 Pb 0.000 0.500 0.000
8 Pb 0.500 0.000 0.000

Summary:
Offset from the most stable computed form (meV per atom): 220
Total moment (μB/atom): 0.000
Space group: No. 65
DFT total energy (eV for the cell shown): -64.0
Formation energy (eV/f.u.): 2.80
Mass density (Mg/m³): 12.4

---

Computed, not measured: an optimized crystal structure of Li2AcPr2Pb2 at the PBE-GGA level of DFT.

Unit cell a=10.143 b=10.143 c=10.143 alpha=28.40 beta=28.40 gamma=28.40
Sites, in units of the cell vectors:
1 Li 0.085 0.085 0.085
2 Li 0.915 0.915 0.915
3 Ac 0.500 0.500 0.500
4 Pr 0.368 0.368 0.368
5 Pr 0.632 0.632 0.632
6 Pb 0.240 0.240 0.240
7 Pb 0.760 0.760 0.760

Summary:
Total moment (μB/atom): 0.000
Space group: No. 166
DFT total energy (eV for the cell shown): -27.4
Formation energy (eV/f.u.): -2.54
Mass density (Mg/m³): 7.5

---

Computed, not measured: an optimized crystal structure of TaV3H3 at the PBE-GGA level of DFT.

Unit cell a=7.196 b=7.196 c=7.196 alpha=40.22 beta=40.22 gamma=40.22
Sites, in units of the cell vectors:
1 Ta 0.166 0.166 0.166
2 Ta 0.834 0.834 0.834
3 V 0.060 0.709 0.384
4 V 0.291 0.616 0.940
5 V 0.384 0.060 0.709
6 V 0.616 0.940 0.291
7 V 0.709 0.384 0.060
8 V 0.940 0.291 0.616
9 H 0.096 0.440 0.779
10 H 0.221 0.904 0.560
11 H 0.440 0.779 0.096
12 H 0.560 0.221 0.904
13 H 0.779 0.096 0.440
14 H 0.904 0.560 0.221

Summary:
Total moment (μB/atom): 0.000
Space group: No. 148
DFT total energy (eV for the cell shown): -97.6
Mass density (Mg/m³): 8.0

---

Computed, not measured: an optimized crystal structure of AcOF at the PBE-GGA level of DFT.

Unit cell a=7.432 b=7.432 c=7.432 alpha=32.92 beta=32.92 gamma=32.92
Sites, in units of the cell vectors:
1 Ac 0.242 0.242 0.242
2 Ac 0.758 0.758 0.758
3 O 0.123 0.123 0.123
4 O 0.877 0.877 0.877
5 F 0.371 0.371 0.371
6 F 0.629 0.629 0.629

Summary:
Offset from the most stable computed form (meV per atom): 0
Total moment (μB/atom): 0.000
Formation energy without anion corrections (kJ/mol of formula units): -1111
Space group: No. 166
DFT total energy (eV for the cell shown): -44.9
Mass density (Mg/m³): 8.1

---

Computed, not measured: an optimized crystal structure of Cu4PCl at the PBE-GGA level of DFT.

Unit cell a=13.407 b=6.986 c=4.940 alpha=90.00 beta=90.00 gamma=90.00
Sites, in units of the cell vectors:
1 Cu 0.127 0.249 0.000
2 Cu 0.133 0.750 0.504
3 Cu 0.248 0.443 0.666
4 Cu 0.249 0.056 0.666
5 Cu 0.251 0.556 0.166
6 Cu 0.252 0.943 0.166
7 Cu 0.367 0.250 0.004
8 Cu 0.373 0.749 0.500
9 Cu 0.627 0.251 0.000
10 Cu 0.633 0.750 0.504
11 Cu 0.748 0.057 0.666
12 Cu 0.749 0.444 0.666
13 Cu 0.751 0.944 0.166
14 Cu 0.752 0.557 0.166
15 Cu 0.867 0.250 0.004
16 Cu 0.873 0.751 0.500
17 P 0.246 0.249 0.305
18 P 0.254 0.749 0.805
19 P 0.746 0.251 0.305
20 P 0.754 0.751 0.805
21 Cl 0.003 0.750 0.233
22 Cl 0.497 0.250 0.733
23 Cl 0.503 0.750 0.233
24 Cl 0.997 0.250 0.733

Summary:
Offset from the most stable computed form (meV per atom): 0
Total moment (μB/atom): 0.000
Formation energy without anion corrections (kJ/mol of formula units): -71
Space group: No. 33
DFT total energy (eV for the cell shown): -97.5
Mass density (Mg/m³): 4.6

---

Computed, not measured: an optimized crystal structure of ErMg8Tl6 at the PBE-GGA level of DFT.

Unit cell a=8.029 b=8.029 c=8.029 alpha=64.75 beta=64.75 gamma=64.75
Sites, in units of the cell vectors:
1 Er 0.000 0.000 0.000
2 Mg 0.114 0.445 0.770
3 Mg 0.230 0.886 0.555
4 Mg 0.333 0.333 0.333
5 Mg 0.445 0.770 0.114
6 Mg 0.555 0.230 0.886
7 Mg 0.667 0.667 0.667
8 Mg 0.770 0.114 0.445
9 Mg 0.886 0.555 0.230
10 Tl 0.063 0.734 0.402
11 Tl 0.266 0.598 0.937
12 Tl 0.402 0.063 0.734
13 Tl 0.598 0.937 0.266
14 Tl 0.734 0.402 0.063
15 Tl 0.937 0.266 0.598

Summary:
Total moment (μB/atom): 0.000
Space group: No. 148
DFT total energy (eV for the cell shown): -31.2
Formation energy (eV/f.u.): 0.32
Mass density (Mg/m³): 6.5